Compound: LiYHg4
Source: the Alexandria database
Functional: PBE
Structure: relaxed

**ΔH_f (0 K)**: -0.119 eV/atom
**Total moment**: 0.0 μB/f.u.
**Energy relative to the lowest polymorph listed for this composition**: 1.23 eV per formula unit
**SG**: No. 216
**Volume**: 145 Å³/f.u.
**Uncorrected energy**: -1.72 eV per atom

a = 5.9030 Å, b = 5.9030 Å, c = 5.9030 Å
α = 60.00°, β = 60.00°, γ = 60.00°
Fractional coordinates of all 6 atoms:
Hg 0.8746 0.3751 0.3751
Hg 0.3751 0.3751 0.8746
Li 0.7500 0.7500 0.7500
Y 0.0000 0.0000 0.0000
Hg 0.3751 0.3751 0.3751
Hg 0.3751 0.8746 0.3751